# LiHoEr (PBE, relaxed)
data_LiHoEr
_chemical_formula_sum 'Li4 Ho4 Er4'
_symmetry_space_group_name_H-M 'F -4 3 m'
_symmetry_Int_Tables_number 216
_symmetry_space_group_name_Hall 'F -4 2 3'
_cell_length_a 7.0754
_cell_length_b 7.0754
_cell_length_c 7.0754
_cell_angle_alpha 90.00
_cell_angle_beta 90.00
_cell_angle_gamma 90.00
loop_
_atom_site_label
_atom_site_fract_x
_atom_site_fract_y
_atom_site_fract_z
_atom_site_occupancy
Li1 0.0000 0.0000 0.0000 1
Ho1 0.2500 0.2500 0.2500 1
Er1 0.2500 0.2500 0.7500 1
# Total energy, eV/atom: -3.159
# ΔE to the lowest computed polymorph, eV/atom: 0.000
# Total magnetic moment, μB/f.u.: 0.1